Arrangement one

A plane-wave DFT calculation with GGA-PBE was carried out for an optimized crystal structure of VCr3Ni.

POSCAR file:
```
VCr3Ni
1.0
-2.9698 -1.5874 2.8533
2.6185 -3.4621 0.7993
1.9506 2.2305 3.2713
Cr Ni V
3 1 1
Direct
0.0000 0.0000 0.5000 Cr
0.5000 0.0000 0.0000 Cr
0.0000 0.5000 0.0000 Cr
0.0000 0.0000 0.0000 Ni
0.5000 0.5000 0.5000 V
```



Arrangement two

A plane-wave DFT calculation with GGA-PBE was carried out for an optimized crystal structure of VCr3Ni.

POSCAR file:
```
VCr3Ni
1.0
-4.0899 -0.5026 0.5421
0.5911 -0.3928 4.0951
-0.4440 4.1069 0.4580
Cr Ni V
3 1 1
Direct
0.0000 0.5000 0.0000 Cr
0.5000 0.0000 0.0000 Cr
0.0000 0.0000 0.5000 Cr
0.5000 0.5000 0.5000 Ni
0.0000 0.0000 0.0000 V
```



Which of them is least stable? Easy: arrangement two.



Arrangement one

A plane-wave DFT calculation with GGA-PBE was carried out for an optimized crystal structure of VCr2Ni.

POSCAR file:
```
VCr2Ni
1.0
-6.1440 0.4634 1.9982
-1.8659 -3.8836 -4.8365
-3.6871 -3.6358 0.0045
Ni V Cr
2 2 4
Direct
0.0000 0.0000 0.0000 Ni
0.7500 0.2500 0.5000 Ni
0.2500 0.7500 0.5000 V
0.5000 0.5000 0.0000 V
0.8750 0.8826 0.7500 Cr
0.1174 0.6250 0.2500 Cr
0.3750 0.3674 0.7500 Cr
0.6326 0.1250 0.2500 Cr
```



Arrangement two

A plane-wave DFT calculation with GGA-PBE was carried out for an optimized crystal structure of VCr2Ni.

POSCAR file:
```
VCr2Ni
1.0
3.9375 0.0000 0.0000
0.0000 3.4732 0.0000
0.0000 0.0000 3.4732
Ni V Cr
1 1 2
Direct
0.5000 0.0000 0.0000 Ni
0.5000 0.5000 0.5000 V
0.0000 0.5000 0.0000 Cr
0.0000 0.0000 0.5000 Cr
```



Which of them is least stable? Easy: arrangement one.



Arrangement one

A plane-wave DFT calculation with GGA-PBE was carried out for an optimized crystal structure of Cr2NiW.

POSCAR file:
```
Cr2NiW
1.0
-5.8568 -5.4203 -4.0633
-3.8443 -5.7378 -5.7001
-4.0066 -7.1879 -3.5319
Cr W Ni
2 1 1
Direct
0.9937 0.9937 0.9937 Cr
0.5063 0.5063 0.5063 Cr
0.7500 0.7500 0.7500 W
0.2500 0.2500 0.2500 Ni
```



Arrangement two

A plane-wave DFT calculation with GGA-PBE was carried out for an optimized crystal structure of Cr2NiW.

POSCAR file:
```
Cr2NiW
1.0
-0.4982 3.9387 2.4237
-3.8663 -2.5858 0.0288
0.8202 -1.2026 2.1230
W Cr Ni
1 2 1
Direct
0.0000 0.5000 0.5000 W
0.0000 0.0000 0.0000 Cr
0.5000 0.5000 0.0000 Cr
0.5000 0.0000 0.5000 Ni
```



Which of them is least stable? Easy: arrangement one.



Arrangement one

A plane-wave DFT calculation with GGA-PBE was carried out for an optimized crystal structure of Cr2NiW.

POSCAR file:
```
Cr2NiW
1.0
4.5120 0.0140 -0.0195
3.7779 2.4671 -0.0195
0.6286 0.1881 4.6272
Cr Ni W
2 1 1
Direct
0.0024 0.0024 0.9830 Cr
0.7590 0.7590 0.7504 Cr
0.4958 0.4958 0.5054 Ni
0.2428 0.2428 0.2612 W
```



Arrangement two

A plane-wave DFT calculation with GGA-PBE was carried out for an optimized crystal structure of Cr2NiW.

POSCAR file:
```
Cr2NiW
1.0
2.5120 0.0000 0.0000
0.0000 3.8155 0.0000
0.0000 0.0000 5.3530
Ni W Cr
1 1 2
Direct
0.5000 0.5000 0.2500 Ni
0.5000 0.5000 0.7500 W
0.0000 0.0000 0.4726 Cr
0.0000 0.0000 0.0274 Cr
```



Arrangement three

A plane-wave DFT calculation with GGA-PBE was carried out for an optimized crystal structure of Cr2NiW.

POSCAR file:
```
Cr2NiW
1.0
4.1206 0.0000 0.0000
0.0000 2.5591 -0.0522
0.0000 0.9602 4.8073
Cr Ni W
2 1 1
Direct
0.5000 0.2923 0.2307 Cr
0.0000 0.0438 0.0285 Cr
0.0000 0.3877 0.5003 Ni
0.5000 0.7761 0.7406 W
```



Which of them is least stable? Easy: arrangement two.